Entry 1:
A geometry-optimized LiSb2Pb structure, computed with PBE-GGA.

Structure (POSCAR):
```
LiSb2Pb
1.0
3.333 0.000 0.000
0.000 4.438 0.000
-0.478 0.000 7.208
Li Sb Pb
1 2 1
direct
0.000 0.000 0.000
0.488 0.500 0.792
0.512 0.500 0.208
0.000 0.000 0.500
```

DOS at the Fermi energy in states/eV/atom: 0.40
Symmetry: P2/m (10)
Total magnetic moment in μB/cell: 0.00
Final energy in eV/atom: -3.60


Entry 2:
A geometry-optimized LiSb2Pb structure, computed with PBE-GGA.

Structure (POSCAR):
```
LiSb2Pb
1.0
9.174 0.000 0.000
0.000 4.050 0.000
-1.527 0.000 6.006
Li Sb Pb
2 4 2
direct
0.000 0.000 0.000
0.500 0.500 0.000
0.249 0.500 0.184
0.251 0.000 0.816
0.749 0.000 0.184
0.751 0.500 0.816
0.000 0.500 0.500
0.500 0.000 0.500
```

DOS at the Fermi energy in states/eV/atom: 0.37
Symmetry: C2/m (12)
Total magnetic moment in μB/cell: 0.00
Final energy in eV/atom: -3.61


Entry 3:
A geometry-optimized LiSb2Pb structure, computed with PBE-GGA.

Structure (POSCAR):
```
LiSb2Pb
1.0
4.012 0.000 0.000
0.000 4.439 0.000
0.000 0.000 12.551
Li Sb Pb
2 4 2
direct
0.000 0.000 0.000
0.500 0.500 0.500
0.000 0.000 0.484
0.000 0.500 0.166
0.500 0.000 0.666
0.500 0.500 0.984
0.000 0.500 0.777
0.500 0.000 0.277
```

DOS at the Fermi energy in states/eV/atom: 0.40
Symmetry: Imm2 (44)
Total magnetic moment in μB/cell: 0.00
Final energy in eV/atom: -3.58


Entry 4:
A geometry-optimized LiSb2Pb structure, computed with PBE-GGA.

Structure (POSCAR):
```
LiSb2Pb
1.0
3.465 0.000 0.000
-1.732 3.000 0.000
0.000 0.000 29.857
Li Sb Pb
3 6 3
direct
0.000 0.000 0.000
0.333 0.667 0.667
0.667 0.333 0.333
0.000 0.000 0.261
0.000 0.000 0.739
0.333 0.667 0.406
0.333 0.667 0.928
0.667 0.333 0.072
0.667 0.333 0.594
0.000 0.000 0.500
0.333 0.667 0.167
0.667 0.333 0.833
```

DOS at the Fermi energy in states/eV/atom: 0.35
Symmetry: R-3m (166)
Total magnetic moment in μB/cell: 0.00
Final energy in eV/atom: -3.54


Entry 5:
A geometry-optimized Li2SbPb2 structure, computed with PBE-GGA.

Structure (POSCAR):
```
Li2SbPb2
1.0
4.418 0.000 0.000
0.000 4.418 0.000
0.000 0.000 13.080
Li Sb Pb
4 2 4
direct
0.000 0.500 0.250
0.000 0.500 0.750
0.500 0.000 0.250
0.500 0.000 0.750
0.000 0.000 0.000
0.500 0.500 0.500
0.000 0.000 0.389
0.000 0.000 0.611
0.500 0.500 0.111
0.500 0.500 0.889
```

DOS at the Fermi energy in states/eV/atom: 0.33
Polymorph energy (0 for the lowest one) in meV per atom: 238
Symmetry: I4/mmm (139)
Total magnetic moment in μB/cell: 0.00


Entry 6:
A geometry-optimized LiSb2Pb structure, computed with PBE-GGA.

Structure (POSCAR):
```
LiSb2Pb
1.0
3.255 0.000 0.000
0.000 3.255 0.000
0.000 0.000 9.744
Li Sb Pb
1 2 1
direct
0.000 0.000 0.000
0.000 0.000 0.505
0.500 0.500 0.810
0.500 0.500 0.232
```

DOS at the Fermi energy in states/eV/atom: 0.44
Symmetry: P4mm (99)
Total magnetic moment in μB/cell: 0.00
Final energy in eV/atom: -3.48


Entry 7:
A geometry-optimized LiSb2Pb structure, computed with PBE-GGA.

Structure (POSCAR):
```
LiSb2Pb
1.0
7.334 0.000 0.000
0.000 5.191 0.000
-2.336 0.000 5.845
Li Sb Pb
2 4 2
direct
0.000 0.000 0.000
0.500 0.500 0.000
0.069 0.500 0.789
0.429 0.000 0.167
0.569 0.000 0.789
0.929 0.500 0.167
0.379 0.500 0.468
0.879 0.000 0.468
```

DOS at the Fermi energy in states/eV/atom: 0.50
Symmetry: Cm (8)
Total magnetic moment in μB/cell: 0.00
Final energy in eV/atom: -3.58


Entry 8:
A geometry-optimized Li12Sb7Pb2 structure, computed with PBE-GGA.

Structure (POSCAR):
```
Li12Sb7Pb2
1.0
12.343 0.000 0.000
-6.172 10.689 0.000
0.000 0.000 3.483
Li Sb Pb
12 7 2
direct
0.044 0.259 0.000
0.121 0.716 0.500
0.216 0.956 0.000
0.284 0.405 0.500
0.445 0.188 0.500
0.499 0.422 0.000
0.578 0.078 0.000
0.595 0.879 0.500
0.741 0.784 0.000
0.743 0.555 0.500
0.812 0.257 0.500
0.922 0.501 0.000
0.082 0.461 0.500
0.252 0.205 0.000
0.379 0.918 0.500
0.539 0.621 0.500
0.667 0.333 0.000
0.795 0.047 0.000
0.953 0.748 0.000
0.000 0.000 0.500
0.333 0.667 0.000
```

DOS at the Fermi energy in states/eV/atom: 0.12
Symmetry: P-6 (174)
Total magnetic moment in μB/cell: 0.00
Final energy in eV/atom: -3.29


- DOS at the Fermi energy of number 6 (LiSb2Pb)?
  0.44 states/eV/atom


- Among the records above, which one has the highest DOS at the Fermi energy?
  number 7